Material: CsLiTl2F4
Method: DFT, PBE
State: relaxed

Cell: 7.630 7.630 7.630 Å, 118.34 105.72 104.74°
Fractional coordinates of all 16 atoms:
Cs (0.000, 0.000, 0.000)
Cs (0.500, 0.000, 0.500)
Li (0.500, 0.000, 0.000)
Li (0.500, 0.500, 0.500)
Tl (0.000, 0.000, 0.500)
Tl (0.000, 0.500, 0.000)
Tl (0.000, 0.500, 0.500)
Tl (0.500, 0.500, 0.000)
F (0.281, 0.296, 0.514)
F (0.281, 0.767, 0.986)
F (0.283, 0.000, 0.783)
F (0.283, 0.500, 0.283)
F (0.717, 0.000, 0.217)
F (0.717, 0.500, 0.717)
F (0.719, 0.233, 0.014)
F (0.719, 0.704, 0.486)

**Total magnetic moment**: 0.000 μB/f.u.
**Electronic total energy**: -4.021 eV/atom